Record 1
! La5Ti6S3Cl3O15 (SCAN, PBEsol geometry); values from VASP
&SYSTEM
  ibrav = 0, nat = 64, ntyp = 5
/
ATOMIC_SPECIES
La 138.91 La.upf
Ti 47.87 Ti.upf
S 32.06 S.upf
Cl 35.45 Cl.upf
O 16.00 O.upf
CELL_PARAMETERS angstrom
8.736 -6.175 0.000
8.736 6.175 0.000
-8.651 0.000 8.742
ATOMIC_POSITIONS crystal
La 0.000 0.500 0.000
La 0.000 0.500 0.500
La 0.150 0.150 0.662
La 0.161 0.839 0.000
La 0.495 0.495 0.328
La 0.500 0.000 0.000
La 0.500 0.000 0.500
La 0.505 0.505 0.672
La 0.839 0.161 0.000
La 0.850 0.850 0.338
Ti 0.131 0.131 0.329
Ti 0.149 0.149 0.949
Ti 0.167 0.437 0.303
Ti 0.199 0.797 0.644
Ti 0.203 0.801 0.356
Ti 0.437 0.167 0.303
Ti 0.563 0.833 0.697
Ti 0.797 0.199 0.644
Ti 0.801 0.203 0.356
Ti 0.833 0.563 0.697
Ti 0.851 0.851 0.051
Ti 0.869 0.869 0.671
S 0.297 0.702 0.184
S 0.298 0.703 0.816
S 0.314 0.314 0.017
S 0.686 0.686 0.983
S 0.702 0.297 0.184
S 0.703 0.298 0.816
Cl 0.115 0.473 0.792
Cl 0.319 0.319 0.614
Cl 0.473 0.115 0.792
Cl 0.527 0.885 0.208
Cl 0.681 0.681 0.386
Cl 0.885 0.527 0.208
O 0.001 0.001 0.872
O 0.002 0.219 0.795
O 0.008 0.224 0.433
O 0.067 0.299 0.076
O 0.070 0.297 0.294
O 0.131 0.869 0.500
O 0.201 0.573 0.500
O 0.201 0.575 0.278
O 0.219 0.002 0.795
O 0.224 0.008 0.433
O 0.297 0.070 0.294
O 0.299 0.067 0.076
O 0.374 0.374 0.374
O 0.425 0.799 0.722
O 0.427 0.799 0.500
O 0.573 0.201 0.500
O 0.575 0.201 0.278
O 0.626 0.626 0.626
O 0.701 0.933 0.924
O 0.703 0.930 0.706
O 0.776 0.992 0.567
O 0.781 0.998 0.205
O 0.799 0.425 0.722
O 0.799 0.427 0.500
O 0.869 0.131 0.500
O 0.930 0.703 0.706
O 0.933 0.701 0.924
O 0.992 0.776 0.567
O 0.998 0.781 0.205
O 0.999 0.999 0.128
! Crystal system ... monoclinic
! Calculated total energy ... -17.554 eV per atom
! Formation energy without anion corrections ... -3.242 eV per atom


Record 2
! LaSn2ClO (SCAN, PBEsol geometry); values from VASP
&SYSTEM
  ibrav = 0, nat = 5, ntyp = 4
/
ATOMIC_SPECIES
La 138.91 La.upf
Sn 118.71 Sn.upf
Cl 35.45 Cl.upf
O 16.00 O.upf
CELL_PARAMETERS angstrom
5.081 0.000 0.000
0.000 5.081 0.000
0.000 0.000 5.466
ATOMIC_POSITIONS crystal
La 0.000 0.000 0.000
Sn 0.000 0.500 0.500
Sn 0.500 0.000 0.500
Cl 0.000 0.000 0.500
O 0.500 0.500 0.000
! Crystal system ... tetragonal
! Calculated total energy ... -25.633 eV per atom
! Formation energy without anion corrections ... 0.198 eV per atom


Record 3
! La2TaClO (SCAN, PBEsol geometry); values from VASP
&SYSTEM
  ibrav = 0, nat = 5, ntyp = 4
/
ATOMIC_SPECIES
La 138.91 La.upf
Ta 180.95 Ta.upf
Cl 35.45 Cl.upf
O 16.00 O.upf
CELL_PARAMETERS angstrom
5.243 0.000 0.000
0.000 5.243 0.000
0.000 0.000 3.934
ATOMIC_POSITIONS crystal
La 0.000 0.500 0.000
La 0.500 0.000 0.000
Ta 0.000 0.000 0.500
Cl 0.500 0.500 0.500
O 0.000 0.000 0.000
! Crystal system ... tetragonal
! Calculated total energy ... -34.651 eV per atom
! Formation energy without anion corrections ... -1.250 eV per atom


Record 4
! La3TaCl3O6 (SCAN, PBEsol geometry); values from VASP
&SYSTEM
  ibrav = 0, nat = 26, ntyp = 4
/
ATOMIC_SPECIES
La 138.91 La.upf
Ta 180.95 Ta.upf
Cl 35.45 Cl.upf
O 16.00 O.upf
CELL_PARAMETERS angstrom
9.433 0.000 0.000
-4.716 8.169 0.000
0.000 0.000 5.340
ATOMIC_POSITIONS crystal
La 0.091 0.686 0.250
La 0.314 0.404 0.250
La 0.404 0.091 0.750
La 0.596 0.909 0.250
La 0.686 0.596 0.750
La 0.909 0.314 0.750
Ta 0.333 0.667 0.750
Ta 0.667 0.333 0.250
Cl 0.051 0.813 0.750
Cl 0.187 0.238 0.750
Cl 0.238 0.051 0.250
Cl 0.762 0.949 0.750
Cl 0.813 0.762 0.250
Cl 0.949 0.187 0.250
O 0.158 0.520 0.514
O 0.158 0.520 0.986
O 0.362 0.842 0.514
O 0.362 0.842 0.986
O 0.480 0.638 0.514
O 0.480 0.638 0.986
O 0.520 0.362 0.014
O 0.520 0.362 0.486
O 0.638 0.158 0.014
O 0.638 0.158 0.486
O 0.842 0.480 0.014
O 0.842 0.480 0.486
! Crystal system ... hexagonal
! Calculated total energy ... -23.008 eV per atom
! Formation energy without anion corrections ... -3.222 eV per atom


Record 5
! La3UCl3O6 (SCAN, PBEsol geometry); values from VASP
&SYSTEM
  ibrav = 0, nat = 26, ntyp = 4
/
ATOMIC_SPECIES
La 138.91 La.upf
U 238.03 U.upf
Cl 35.45 Cl.upf
O 16.00 O.upf
CELL_PARAMETERS angstrom
9.439 0.000 0.000
-4.719 8.174 0.000
0.000 0.000 5.577
ATOMIC_POSITIONS crystal
La 0.091 0.404 0.250
La 0.313 0.909 0.250
La 0.404 0.313 0.750
La 0.596 0.687 0.250
La 0.687 0.091 0.750
La 0.909 0.596 0.750
U 0.333 0.667 0.750
U 0.667 0.333 0.250
Cl 0.059 0.250 0.750
Cl 0.191 0.941 0.750
Cl 0.250 0.191 0.250
Cl 0.750 0.809 0.750
Cl 0.809 0.059 0.250
Cl 0.941 0.750 0.250
O 0.152 0.635 0.507
O 0.152 0.635 0.993
O 0.365 0.517 0.507
O 0.365 0.517 0.993
O 0.483 0.848 0.507
O 0.483 0.848 0.993
O 0.517 0.152 0.007
O 0.517 0.152 0.493
O 0.635 0.483 0.007
O 0.635 0.483 0.493
O 0.848 0.365 0.007
O 0.848 0.365 0.493
! Crystal system ... hexagonal
! Calculated total energy ... -26.089 eV per atom
! Formation energy without anion corrections ... -3.461 eV per atom


Record 6
! La3WCl3O6 (SCAN, PBEsol geometry); values from VASP
&SYSTEM
  ibrav = 0, nat = 26, ntyp = 4
/
ATOMIC_SPECIES
La 138.91 La.upf
W 183.84 W.upf
Cl 35.45 Cl.upf
O 16.00 O.upf
CELL_PARAMETERS angstrom
9.343 0.000 0.000
-4.671 8.091 0.000
0.000 0.000 5.384
ATOMIC_POSITIONS crystal
La 0.091 0.404 0.250
La 0.313 0.909 0.250
La 0.404 0.313 0.750
La 0.596 0.687 0.250
La 0.687 0.091 0.750
La 0.909 0.596 0.750
W 0.333 0.667 0.750
W 0.667 0.333 0.250
Cl 0.049 0.240 0.750
Cl 0.191 0.951 0.750
Cl 0.240 0.191 0.250
Cl 0.760 0.809 0.750
Cl 0.809 0.049 0.250
Cl 0.951 0.760 0.250
O 0.162 0.637 0.520
O 0.162 0.637 0.980
O 0.363 0.525 0.520
O 0.363 0.525 0.980
O 0.475 0.838 0.520
O 0.475 0.838 0.980
O 0.525 0.162 0.020
O 0.525 0.162 0.480
O 0.637 0.475 0.020
O 0.637 0.475 0.480
O 0.838 0.363 0.020
O 0.838 0.363 0.480
! Crystal system ... hexagonal
! Calculated total energy ... -23.224 eV per atom
! Formation energy without anion corrections ... -3.199 eV per atom


Record 7
! LaOsCl2 (SCAN, PBEsol geometry); values from VASP
&SYSTEM
  ibrav = 0, nat = 4, ntyp = 3
/
ATOMIC_SPECIES
La 138.91 La.upf
Os 190.23 Os.upf
Cl 35.45 Cl.upf
CELL_PARAMETERS angstrom
6.103 -1.776 0.000
6.103 1.776 0.000
-0.048 0.000 4.633
ATOMIC_POSITIONS crystal
La 0.000 0.000 0.000
Os 0.500 0.500 0.500
Cl 0.335 0.335 0.243
Cl 0.665 0.665 0.757
! Energy above the lowest structure with this stoichiometry ... 0 meV/atom
! Crystal system ... monoclinic
! Calculated total energy ... -33.530 eV per atom
! Formation energy without anion corrections ... -0.795 eV per atom


Record 8
! La2OsCl (SCAN, PBEsol geometry); values from VASP
&SYSTEM
  ibrav = 0, nat = 4, ntyp = 3
/
ATOMIC_SPECIES
La 138.91 La.upf
Os 190.23 Os.upf
Cl 35.45 Cl.upf
CELL_PARAMETERS angstrom
4.154 0.000 0.000
0.000 4.154 0.000
0.000 0.000 5.716
ATOMIC_POSITIONS crystal
La 0.000 0.000 0.000
La 0.500 0.500 0.500
Os 0.000 0.000 0.500
Cl 0.500 0.500 0.000
! Energy above the lowest structure with this stoichiometry ... 127 meV/atom
! Crystal system ... tetragonal
! Calculated total energy ... -42.500 eV per atom
! Formation energy without anion corrections ... -0.983 eV per atom


- What is the formation energy without anion corrections in the third record?
  -1.250 eV per atom


- Which of these has the highest calculated total energy?
  La5Ti6S3Cl3O15


- What is the formula in the sixth record?
  La3WCl3O6


- What is the formation energy without anion corrections in the first record?
  -3.242 eV per atom